[1]
The following is a GGA-PBE calculation of a relaxed La2Tb2Pr2Sm crystal, from the Alexandria database.

The space group is C2/m (No. 12) and the conventional cell measures 11.5809, 5.1875 and 8.2325 Å, with angles of 90.00, 98.10 and 90.00 degrees. The asymmetric unit holds La at (0.1419, 0.0000, 0.4267), Tb at (0.0708, 0.5000, 0.7147), Pr at (0.2146, 0.5000, 0.1418) and Sm at (0.0000, 0.0000, 0.0000).

As for the energy of formation: 0.021 eV/atom. The magnetization is 0.00 μB/f.u.

***

[2]
The following is a GGA-PBE calculation of a relaxed YHo4TmS8 crystal, from the Alexandria database.

The space group is R3m (No. 160, hexagonal axes) and the conventional cell measures 8.0026, 8.0026 and 19.6165 Å, with angles of 90.00, 90.00 and 120.00 degrees. The asymmetric unit holds Y at (0.0000, 0.0000, 0.0000), Ho at (0.0000, 0.0000, 0.6249), Ho at (0.1669, 0.3339, 0.8330), Tm at (0.0000, 0.0000, 0.3746), S at (0.0000, 0.0000, 0.2429), S at (0.0000, 0.0000, 0.7575), S at (0.0160, 0.5080, 0.7526) and S at (0.1760, 0.3520, 0.5799).

The magnetization is 0.00 μB/f.u. The energy relative to the elements, uncorrected is -1930.4 meV per atom.

***

[3]
The following is a GGA-PBE calculation of a relaxed TlHg2S crystal, from the Alexandria database.

The space group is R-3m (No. 166, hexagonal axes) and the conventional cell measures 3.8605, 3.8605 and 26.8220 Å, with angles of 90.00, 90.00 and 120.00 degrees. The asymmetric unit holds Tl at (0.0000, 0.0000, 0.0000), Hg at (0.0000, 0.0000, 0.1057) and S at (0.0000, 0.0000, 0.5000).

The magnetization is 0.00 μB/f.u. The energy relative to the elements, uncorrected is 136.7 meV per atom.

***

[4]
The following is a GGA-PBE calculation of a relaxed Tl3Sb2Te6Pb crystal, from the Alexandria database.

The space group is C2/m (No. 12) and the conventional cell measures 7.8354, 13.6231 and 8.1992 Å, with angles of 90.00, 108.76 and 90.00 degrees. The asymmetric unit holds Tl at (0.0000, 0.0000, 0.0000), Tl at (0.0000, 0.3398, 0.0000), Sb at (0.0000, 0.1684, 0.5000), Te at (0.2275, 0.0000, 0.7232), Te at (0.2494, 0.1736, 0.2706) and Pb at (0.0000, 0.5000, 0.5000).

The magnetization is 0.00 μB/f.u. The energy relative to the elements, uncorrected is -239.8 meV per atom.

***

[5]
The following is a GGA-PBE calculation of a relaxed ScV3Fe crystal, from the Alexandria database.

The space group is Pm-3m (No. 221) and the conventional cell measures 4.3664, 4.3664 and 4.3664 Å, with angles of 90.00, 90.00 and 90.00 degrees. The asymmetric unit holds Sc at (0.0000, 0.0000, 0.0000), V at (0.0000, 0.5000, 0.5000) and Fe at (0.5000, 0.5000, 0.5000).

As for the energy of formation: 0.497 eV/atom. The magnetization is 0.01 μB/f.u. For the excess energy over the best structure of this formula in the dataset, the calculation gives 0 meV per atom.

***

[6]
The following is a GGA-PBE calculation of a relaxed Sc2TiH6 crystal, from the Alexandria database.

The space group is C2/m (No. 12) and the conventional cell measures 10.2737, 4.6631 and 3.2571 Å, with angles of 90.00, 108.38 and 90.00 degrees. The asymmetric unit holds Sc at (0.1635, 0.0000, 0.1636), Ti at (0.0000, 0.5000, 0.5000), H at (0.0000, 0.2722, 0.0000) and H at (0.1607, 0.2604, 0.6606).

The magnetization is 0.00 μB/f.u. For the total energy, the calculation gives -5.138 eV/atom.

***

no.,calculated volume (Å³/cell)
1,489.7
2,1088.0
3,346.2
4,828.7
5,83.2
6,148.1